Crystalline Mg2HBrN at its relaxed geometry. Source: Alexandria, functional GGA-PBE.

a b c (Å): 4.8843 3.6417 4.8843
angles (deg): 90.00 90.00 90.00
Last column: nearest neighbours and their distance in Å.
Atoms (fractional coordinates):
H (0.0000, 0.5000, 0.0000)  2 Br 1.82
Mg (0.0000, 0.0000, 0.5000)  2 Br 2.44
Mg (0.5000, 0.0000, 0.0000)  2 Br 2.44
Br (0.0000, 0.0000, 0.0000)  2 H 1.82
N (0.5000, 0.5000, 0.5000)  8 Mg 3.05

Crystalline BeRhPb2 at its relaxed geometry. Source: Alexandria, functional GGA-PBE.

Summary:
formation enthalpy at 0 K	0.4	eV/f.u.

a b c (Å): 7.1289 7.1289 7.1289
angles (deg): 150.18 150.06 42.77
Last column: nearest neighbours and their distance in Å.
Atoms (fractional coordinates):
Pb (0.0121, 0.0121, 0.0000)  4 Rh 2.89, 2 Be 3.05
Pb (0.7430, 0.2430, 0.5000)  4 Be 2.84, 2 Rh 2.95
Be (0.3285, 0.8285, 0.5000)  2 Rh 2.17
Rh (0.4164, 0.4164, 0.0000)  2 Be 2.17

Per-record magnetization, μB/f.u.: 0.000, 0.000
Per-record mass density, g/cm3: 2.74, 9.74
Per-record DFT total energy, eV per cell: -11.8, -18.1